No. 1
The following is a DFT calculation (PBE) of a relaxed DyPa2Co2 crystal.

Values from the calculation:
DFT total energy = -77.56 eV per cell
Magnetization = 0.0000 μB per atom
ΔE_f = -0.973 eV per formula unit

a = 6.0196 Å, b = 6.0196 Å, c = 10.6734 Å
α = 72.36°, β = 72.36°, γ = 33.92°
Fractional positions:
Pa1 0.8311 0.8311 0.0827
Pa2 0.9226 0.9226 0.7358
Pa3 0.0774 0.0774 0.2642
Pa4 0.1689 0.1689 0.9173
Co1 0.5373 0.5373 0.1008
Co2 0.4627 0.4627 0.8992
Co3 0.6041 0.6041 0.4095
Co4 0.3959 0.3959 0.5905
Dy1 0.3217 0.3217 0.3651
Dy2 0.6783 0.6783 0.6349



No. 2
The following is a DFT calculation (PBE) of a relaxed DyPaCo2 crystal.

Values from the calculation:
DFT total energy = -28.75 eV per cell
Magnetization = 0.0007 μB per atom
Relative energy among the computed polymorphs = 271 meV per atom
ΔE_f = -0.441 eV per formula unit

a = 4.7039 Å, b = 4.7039 Å, c = 4.7039 Å
α = 60.00°, β = 60.00°, γ = 60.00°
Fractional positions:
Dy1 0.0000 0.0000 0.0000
Pa1 0.5000 0.5000 0.5000
Co1 0.2500 0.2500 0.2500
Co2 0.7500 0.7500 0.7500



No. 3
The following is a DFT calculation (PBE) of a relaxed DyPa2Co9 crystal.

Values from the calculation:
DFT total energy = -90.52 eV per cell
Magnetization = 0.5475 μB per atom
ΔE_f = -2.973 eV per formula unit

a = 4.8718 Å, b = 4.8718 Å, c = 8.6682 Å
α = 73.68°, β = 73.68°, γ = 60.00°
Each line ends with the local moment (μB).
Fractional positions:
Dy1 0.0000 0.0000 0.0000  -0.17
Co1 0.0825 0.5812 0.7550  0.80
Co2 0.5812 0.5812 0.7550  0.80
Co3 0.3328 0.3328 0.0017  1.39
Co4 0.4188 0.9175 0.2450  0.80
Co5 0.9175 0.4188 0.2450  0.80
Co6 0.5000 0.5000 0.5000  0.43
Co7 0.4188 0.4188 0.2450  0.80
Co8 0.5812 0.0825 0.7550  0.80
Co9 0.6672 0.6672 0.9983  1.39
Pa1 0.1382 0.1382 0.5854  -0.51
Pa2 0.8618 0.8618 0.4146  -0.51